A geometry-optimized Li7Co5O12 structure. Source: the Alexandria database, functional PBE with a Hubbard U.

Computed properties:
Theoretical density in g cm⁻³: 4.18
Distance to the lowest polymorph of the same formula in meV per atom: 81

Cell: 2.9858 7.7265 10.0495 Å, 111.61 91.24 98.22°
Closest atoms and distances in Å follow each position.
Space group P-1 (No. 2)
Inequivalent atoms, fractional coordinates:
Li (0.0000, 0.0000, 0.0000) (multiplicity 1)  6 O 2.01-2.18
Li (0.1569, 0.3348, 0.9183) (multiplicity 2)  6 O 2.05-2.18
Li (0.1578, 0.3322, 0.4171) (multiplicity 2)  6 O 2.00-2.20
Li (0.4991, 0.9979, 0.7562) (multiplicity 2)  6 O 2.11-2.22
Co (0.0000, 0.0000, 0.5000) (multiplicity 1)  6 O 1.94-2.09
Co (0.3437, 0.6659, 0.3308) (multiplicity 2)  4 O 1.88-1.95
Co (0.3502, 0.6799, 0.8389) (multiplicity 2)  3 O 1.74-1.93
O (0.0366, 0.1661, 0.7008) (multiplicity 2)  2 Co 1.94-1.95, 2 Li 2.08-2.13
O (0.0469, 0.1792, 0.2063) (multiplicity 2)  1 Co 1.87, 2 Li 2.00-2.01
O (0.2790, 0.4989, 0.1378) (multiplicity 2)  2 Co 1.88-1.96, 1 Li 2.09
O (0.2789, 0.5024, 0.6427) (multiplicity 2)  2 Co 1.92-1.93, 1 Li 2.15
O (0.4119, 0.8130, 0.0222) (multiplicity 2)  1 Co 1.74
O (0.4277, 0.8294, 0.5279) (multiplicity 2)  3 Co 1.90-2.09, 1 Li 2.08